(1)
Material: GeAs3Pt
Method: DFT, PBE-GGA
State: relaxed

a = 4.801 Å, b = 4.801 Å, c = 4.801 Å
α = 90.00°, β = 90.00°, γ = 90.00°
Atoms (fractional coordinates):
Pt: 0.500 0.500 0.500
As: 0.000 0.500 0.000
As: 0.000 0.000 0.500
Ge: 0.000 0.000 0.000
As: 0.500 0.000 0.000

M_tot: 0.00 μB/f.u.
E above lowest polymorph: 375 meV/atom
Total DFT energy (no corrections): -3.8835 eV per atom
Energy of formation from the pure elements: 1038 meV per atom

---

(2)
Material: HoAl11Ru
Method: DFT, PBE-GGA
State: relaxed

a = 5.192 Å, b = 7.136 Å, c = 6.823 Å
α = 82.67°, β = 67.64°, γ = 70.40°
Atoms (fractional coordinates):
Ho: 0.000 0.000 0.000
Al: 0.014 0.641 0.347
Al: 0.501 0.775 0.216
Al: 0.639 0.359 0.347
Al: 0.717 0.775 0.784
Al: 0.499 0.225 0.784
Al: 0.000 0.000 0.500
Ru: 0.500 0.500 0.000
Al: 0.986 0.359 0.653
Al: 0.283 0.225 0.216
Al: 0.500 0.000 0.500
Al: 0.000 0.500 0.000
Al: 0.361 0.641 0.653

M_tot: 0.00 μB/f.u.
Total DFT energy (no corrections): -4.4913 eV per atom
Energy of formation from the pure elements: -259 meV per atom

---

(3)
Material: TmPdAu4
Method: DFT, PBE-GGA
State: relaxed

a = 4.984 Å, b = 5.412 Å, c = 8.924 Å
α = 102.95°, β = 97.37°, γ = 95.39°
Atoms (fractional coordinates):
Au: 0.216 0.570 0.865
Au: 0.319 0.837 0.192
Au: 0.888 0.401 0.134
Tm: 0.774 0.853 0.987
Au: 0.431 0.413 0.308
Pd: 0.314 0.158 0.998
Tm: 0.976 0.397 0.513
Au: 0.862 0.849 0.366
Au: 0.069 0.964 0.696
Au: 0.681 0.286 0.804
Au: 0.534 0.680 0.635
Pd: 0.436 0.092 0.502

M_tot: 0.00 μB/f.u.
E above lowest polymorph: 33 meV/atom
Total DFT energy (no corrections): -4.2769 eV per atom
Energy of formation from the pure elements: -481 meV per atom

---

(4)
Material: PmSnH6Rh3
Method: DFT, PBE-GGA
State: relaxed

a = 5.011 Å, b = 5.011 Å, c = 5.011 Å
α = 87.03°, β = 92.97°, γ = 87.03°
Atoms (fractional coordinates):
H: 0.097 0.305 0.511
H: 0.351 0.491 0.100
H: 0.100 0.649 0.509
Rh: 0.028 0.494 0.205
H: 0.509 0.900 0.351
H: 0.695 0.489 0.097
Rh: 0.506 0.795 0.028
Sn: 0.994 0.006 0.994
Pm: 0.577 0.423 0.577
Rh: 0.205 0.972 0.506
H: 0.511 0.903 0.695

M_tot: 0.00 μB/f.u.
Total DFT energy (no corrections): -4.9509 eV per atom

---

(5)
Material: BeSb2Br
Method: DFT, PBE-GGA
State: relaxed

a = 5.080 Å, b = 5.080 Å, c = 5.082 Å
α = 68.37°, β = 68.37°, γ = 105.21°
Atoms (fractional coordinates):
Br: 0.000 0.500 0.500
Sb: 0.000 0.000 0.000
Be: 0.500 0.000 0.500
Sb: 0.500 0.500 0.000

Formation energy (no corrections): 0.39 eV per atom
M_tot: 0.00 μB/f.u.
E above lowest polymorph: 463 meV/atom
Total DFT energy (no corrections): -3.0211 eV per atom

---

(6)
Material: HgPb2I6
Method: DFT, PBE-GGA
State: relaxed

a = 7.560 Å, b = 7.560 Å, c = 14.206 Å
α = 90.00°, β = 90.00°, γ = 90.00°
Atoms (fractional coordinates):
Pb: 0.500 0.500 0.336
I: 0.295 0.295 0.500
Pb: 0.000 0.000 0.164
I: 0.795 0.205 0.000
I: 0.193 0.807 0.657
I: 0.807 0.193 0.657
I: 0.307 0.307 0.843
Pb: 0.000 0.000 0.836
I: 0.705 0.705 0.500
Hg: 0.500 0.500 0.000
I: 0.807 0.193 0.343
I: 0.693 0.693 0.157
I: 0.205 0.795 0.000
I: 0.693 0.693 0.843
Hg: 0.000 0.000 0.500
I: 0.307 0.307 0.157
Pb: 0.500 0.500 0.664
I: 0.193 0.807 0.343

Formation energy (no corrections): -0.45 eV per atom
M_tot: 0.00 μB/f.u.
Total DFT energy (no corrections): -2.3432 eV per atom